The following is a PBE calculation of crystalline LiPuMgSi at its relaxed geometry, from Alexandria.

Geometry as POSCAR:
```
LiPuMgSi
1.0
0.000 3.381 3.381
3.381 0.000 3.381
3.381 3.381 0.000
Li Pu Mg Si
1 1 1 1
Cartesian
0.000 0.000 0.000
5.072 5.072 5.072
1.691 1.691 1.691
3.381 3.381 3.381
```

Mass density ... 6.51 g cm⁻³
Volume ... 77.3 Å³/cell
Formation energy (no corrections) ... -105.9 meV per atom
Total magnetic moment ... 5.85 μB per formula unit
D(E_F) ... 6.04 states/eV/f.u.

The following is a PBE calculation of crystalline Li2PuMg2Sn2 at its relaxed geometry, from Alexandria.

Geometry as POSCAR:
```
Li2PuMg2Sn2
1.0
2.369 1.368 8.247
-2.369 1.368 8.247
0.000 -2.735 8.247
Li Pu Mg Sn
2 1 2 2
Cartesian
0.000 0.000 1.964
0.000 0.000 22.776
0.000 0.000 12.370
0.000 0.000 9.041
0.000 0.000 15.698
0.000 0.000 5.988
0.000 0.000 18.751
```

Mass density ... 5.63 g cm⁻³
Volume ... 160.3 Å³/cell
Total magnetic moment ... 5.87 μB per formula unit
Total DFT energy (no corrections) ... -4.484 eV per atom
D(E_F) ... 16.06 states/eV/f.u.

The following is a PBE calculation of crystalline LiPuMgSn at its relaxed geometry, from Alexandria.

Geometry as POSCAR:
```
LiPuMgSn
1.0
0.000 3.610 3.610
3.610 0.000 3.610
3.610 3.610 0.000
Li Pu Mg Sn
1 1 1 1
Cartesian
0.000 0.000 0.000
5.415 5.415 5.415
1.805 1.805 1.805
3.610 3.610 3.610
```

Mass density ... 6.95 g cm⁻³
Volume ... 94.1 Å³/cell
Total magnetic moment ... 6.15 μB per formula unit
Total DFT energy (no corrections) ... -5.586 eV per atom
D(E_F) ... 9.77 states/eV/f.u.

The following is a PBE calculation of crystalline Li2PuMgTl4 at its relaxed geometry, from Alexandria.

Geometry as POSCAR:
```
Li2PuMgTl4
1.0
2.546 1.470 8.736
-2.546 1.470 8.736
0.000 -2.940 8.736
Li Pu Mg Tl
2 1 1 4
Cartesian
0.000 0.000 6.494
0.000 0.000 19.715
0.000 0.000 0.000
0.000 0.000 13.105
0.000 0.000 3.290
0.000 0.000 9.969
0.000 0.000 16.241
0.000 0.000 22.919
```

Mass density ... 9.31 g cm⁻³
Volume ... 196.2 Å³/cell
Total magnetic moment ... 5.68 μB per formula unit
Total DFT energy (no corrections) ... -3.750 eV per atom
D(E_F) ... 14.88 states/eV/f.u.

The following is a PBE calculation of crystalline LiPuMgZn at its relaxed geometry, from Alexandria.

Geometry as POSCAR:
```
LiPuMgZn
1.0
0.000 3.480 3.480
3.480 0.000 3.480
3.480 3.480 0.000
Li Pu Mg Zn
1 1 1 1
Cartesian
0.000 0.000 0.000
1.740 1.740 1.740
5.220 5.220 5.220
3.480 3.480 3.480
```

Mass density ... 6.71 g cm⁻³
Volume ... 84.3 Å³/cell
Total magnetic moment ... 6.01 μB per formula unit
Total DFT energy (no corrections) ... -4.702 eV per atom
D(E_F) ... 13.71 states/eV/f.u.

The following is a PBE calculation of crystalline RbLiMg14 at its relaxed geometry, from Alexandria.

Geometry as POSCAR:
```
RbLiMg14
1.0
10.846 0.000 0.000
0.000 3.182 5.793
0.000 -3.182 5.793
Rb Li Mg
1 1 14
Cartesian
0.000 0.000 0.000
0.000 0.000 5.670
0.000 -1.577 2.880
0.000 1.577 2.880
2.604 0.000 7.561
2.871 -1.563 4.650
2.871 1.563 4.650
2.883 0.000 1.848
5.423 -1.566 8.567
5.423 0.000 5.725
5.423 1.566 8.567
5.423 0.000 11.489
7.963 0.000 1.848
7.975 -1.563 4.650
7.975 1.563 4.650
8.243 0.000 7.561
```

Mass density ... 1.80 g cm⁻³
Volume ... 399.8 Å³/cell
Total magnetic moment ... 0.00 μB per formula unit
Excess energy over the best structure of this formula in the dataset ... 0 meV/atom
D(E_F) ... 6.29 states/eV/f.u.

The following is a PBE calculation of crystalline RbLiMg3 at its relaxed geometry, from Alexandria.

Geometry as POSCAR:
```
RbLiMg3
1.0
5.442 0.000 0.000
0.000 5.442 0.000
0.000 0.000 5.442
Rb Li Mg
1 1 3
Cartesian
0.000 0.000 0.000
2.721 2.721 2.721
0.000 2.721 2.721
2.721 0.000 2.721
2.721 2.721 0.000
```

Mass density ... 1.70 g cm⁻³
Volume ... 161.2 Å³/cell
Total magnetic moment ... 0.00 μB per formula unit
Excess energy over the best structure of this formula in the dataset ... 0 meV/atom
D(E_F) ... 3.34 states/eV/f.u.

The following is a PBE calculation of crystalline RbLiMg4 at its relaxed geometry, from Alexandria.

Geometry as POSCAR:
```
RbLiMg4
1.0
0.000 4.487 4.487
4.487 0.000 4.487
4.487 4.487 0.000
Rb Li Mg
1 1 4
Cartesian
0.000 0.000 0.000
6.730 6.730 6.730
3.381 3.381 3.381
5.592 5.592 3.381
5.592 3.381 5.592
3.381 5.592 5.592
```

Mass density ... 1.74 g cm⁻³
Volume ... 180.6 Å³/cell
Total magnetic moment ... 0.00 μB per formula unit
Total DFT energy (no corrections) ... -1.391 eV per atom
D(E_F) ... 1.71 states/eV/f.u.

The following is a PBE calculation of crystalline Rb2Li2Mg at its relaxed geometry, from Alexandria.

Geometry as POSCAR:
```
Rb2Li2Mg
1.0
-2.092 2.092 12.537
2.092 -2.092 12.537
2.092 2.092 -12.537
Rb Li Mg
2 2 1
Cartesian
0.000 0.000 2.800
0.000 0.000 22.274
2.092 0.000 6.268
0.000 2.092 6.268
0.000 0.000 12.537
```

Mass density ... 1.58 g cm⁻³
Volume ... 219.5 Å³/cell
Total magnetic moment ... 0.00 μB per formula unit
Excess energy over the best structure of this formula in the dataset ... 22 meV/atom
D(E_F) ... 3.85 states/eV/f.u.

The following is a PBE calculation of crystalline RbLiMg6 at its relaxed geometry, from Alexandria.

Geometry as POSCAR:
```
RbLiMg6
1.0
5.187 0.000 0.000
0.000 3.375 6.398
0.000 -3.375 6.398
Rb Li Mg
1 1 6
Cartesian
0.000 0.000 0.000
2.593 0.000 2.159
0.000 0.000 5.587
0.000 -1.560 9.339
0.000 1.560 9.339
2.593 -1.626 4.622
2.593 1.626 4.622
2.593 0.000 7.834
```

Mass density ... 1.77 g cm⁻³
Volume ... 224.0 Å³/cell
Total magnetic moment ... 0.00 μB per formula unit
Excess energy over the best structure of this formula in the dataset ... 0 meV/atom
D(E_F) ... 4.47 states/eV/f.u.

The following is a PBE calculation of crystalline Rb2Li2Mg at its relaxed geometry, from Alexandria.

Geometry as POSCAR:
```
Rb2Li2Mg
1.0
11.189 0.000 0.000
0.000 11.189 0.000
0.000 0.000 3.694
Rb Li Mg
4 4 2
Cartesian
2.202 3.393 0.000
3.393 8.987 0.000
7.796 2.202 0.000
8.987 7.796 0.000
1.037 6.632 1.847
4.557 1.037 1.847
6.632 10.152 1.847
10.152 4.557 1.847
0.000 0.000 0.000
5.594 5.594 0.000
```

Mass density ... 1.50 g cm⁻³
Volume ... 462.4 Å³/cell
Total magnetic moment ... 0.00 μB per formula unit
Excess energy over the best structure of this formula in the dataset ... 158 meV/atom
D(E_F) ... 3.39 states/eV/f.u.

The following is a PBE calculation of crystalline RbLiMg3 at its relaxed geometry, from Alexandria.

Geometry as POSCAR:
```
RbLiMg3
1.0
6.603 0.000 0.000
0.000 6.603 0.000
0.000 0.000 6.603
Rb Li Mg
1 1 3
Cartesian
0.000 0.000 0.000
3.302 3.302 3.302
0.000 0.000 3.302
0.000 3.302 0.000
3.302 0.000 0.000
```

Mass density ... 0.95 g cm⁻³
Volume ... 287.9 Å³/cell
Total magnetic moment ... 0.00 μB per formula unit
Excess energy over the best structure of this formula in the dataset ... 708 meV/atom
D(E_F) ... 3.67 states/eV/f.u.

The following is a PBE calculation of crystalline Rb2LiMg2 at its relaxed geometry, from Alexandria.

Geometry as POSCAR:
```
Rb2LiMg2
1.0
8.223 0.000 0.000
0.000 8.223 0.000
0.000 0.000 6.433
Rb Li Mg
4 2 4
Cartesian
1.466 2.645 0.000
2.645 6.757 0.000
5.578 1.466 0.000
6.757 5.578 0.000
0.000 0.000 3.216
4.112 4.112 3.216
1.117 5.228 3.216
2.995 1.117 3.216
5.228 7.106 3.216
7.106 2.995 3.216
```

Mass density ... 1.73 g cm⁻³
Volume ... 435.0 Å³/cell
Total magnetic moment ... 0.00 μB per formula unit
Excess energy over the best structure of this formula in the dataset ... 0 meV/atom
D(E_F) ... 3.86 states/eV/f.u.

The following is a PBE calculation of crystalline RbLi2Mg2 at its relaxed geometry, from Alexandria.

Geometry as POSCAR:
```
RbLi2Mg2
1.0
9.348 0.000 0.000
0.000 9.348 0.000
0.000 0.000 3.339
Rb Li Mg
2 4 4
Cartesian
0.000 0.000 0.000
4.674 4.674 0.000
1.549 3.125 0.000
3.125 7.800 0.000
6.223 1.549 0.000
7.800 6.223 0.000
1.126 5.801 1.669
3.548 1.126 1.669
5.801 8.222 1.669
8.222 3.548 1.669
```

Mass density ... 1.68 g cm⁻³
Volume ... 291.8 Å³/cell
Total magnetic moment ... 0.00 μB per formula unit
Excess energy over the best structure of this formula in the dataset ... 0 meV/atom
D(E_F) ... 2.96 states/eV/f.u.

The following is a PBE calculation of crystalline RbLiMg2 at its relaxed geometry, from Alexandria.

Geometry as POSCAR:
```
RbLiMg2
1.0
-2.905 2.905 10.565
2.905 -2.905 10.565
2.905 2.905 -10.565
Rb Li Mg
2 2 4
Cartesian
0.000 0.000 0.000
0.000 2.905 5.282
2.905 0.000 5.282
0.000 0.000 10.565
1.452 -0.023 7.923
2.882 1.452 2.641
1.452 2.928 -2.641
0.023 1.452 13.206
```

Mass density ... 1.31 g cm⁻³
Volume ... 356.6 Å³/cell
Total magnetic moment ... 0.00 μB per formula unit
Total DFT energy (no corrections) ... -1.189 eV per atom
D(E_F) ... 3.14 states/eV/f.u.

The following is a PBE calculation of crystalline Rb3LiMg at its relaxed geometry, from Alexandria.

Geometry as POSCAR:
```
Rb3LiMg
1.0
7.061 0.000 0.000
0.000 7.061 0.000
0.000 0.000 7.061
Rb Li Mg
3 1 1
Cartesian
0.000 0.000 3.531
0.000 3.531 0.000
3.531 0.000 0.000
0.000 0.000 0.000
3.531 3.531 3.531
```

Mass density ... 1.36 g cm⁻³
Volume ... 352.1 Å³/cell
Total magnetic moment ... 0.00 μB per formula unit
Excess energy over the best structure of this formula in the dataset ... 0 meV/atom
D(E_F) ... 4.75 states/eV/f.u.

The following is a PBE calculation of crystalline Rb2Li2Mg at its relaxed geometry, from Alexandria.

Geometry as POSCAR:
```
Rb2Li2Mg
1.0
8.220 0.000 0.000
0.000 8.220 0.000
0.000 0.000 6.352
Rb Li Mg
4 4 2
Cartesian
1.539 2.571 0.000
2.571 6.681 0.000
5.649 1.539 0.000
6.681 5.649 0.000
1.141 5.250 3.176
2.969 1.141 3.176
5.250 7.079 3.176
7.079 2.969 3.176
0.000 0.000 3.176
4.110 4.110 3.176
```

Mass density ... 1.62 g cm⁻³
Volume ... 429.1 Å³/cell
Total magnetic moment ... 0.00 μB per formula unit
Excess energy over the best structure of this formula in the dataset ... 0 meV/atom
D(E_F) ... 3.19 states/eV/f.u.

The following is a PBE calculation of crystalline RbLiMg14 at its relaxed geometry, from Alexandria.

Geometry as POSCAR:
```
RbLiMg14
1.0
6.554 0.000 0.000
-3.277 5.676 0.000
0.000 0.000 10.766
Rb Li Mg
1 1 14
Cartesian
0.000 0.000 0.000
0.000 0.000 5.383
-1.594 2.864 0.000
0.000 1.933 2.869
0.000 1.933 7.896
-1.603 4.709 2.869
-1.603 4.709 7.896
1.594 2.864 0.000
0.000 5.624 0.000
3.277 0.025 5.383
1.660 2.825 5.383
1.603 4.709 2.869
1.603 4.709 7.896
3.277 1.892 2.618
3.277 1.892 8.147
4.893 2.825 5.383
```

Mass density ... 1.79 g cm⁻³
Volume ... 400.5 Å³/cell
Total magnetic moment ... 0.00 μB per formula unit
Excess energy over the best structure of this formula in the dataset ... 5 meV/atom
D(E_F) ... 5.40 states/eV/f.u.

The following is a PBE calculation of crystalline RbLi2Mg2 at its relaxed geometry, from Alexandria.

Geometry as POSCAR:
```
RbLi2Mg2
1.0
-2.436 2.436 6.935
2.436 -2.436 6.935
2.436 2.436 -6.935
Rb Li Mg
1 2 2
Cartesian
0.000 0.000 0.000
0.000 0.000 5.283
0.000 0.000 8.586
2.436 0.000 3.467
0.000 2.436 3.467
```

Mass density ... 1.49 g cm⁻³
Volume ... 164.6 Å³/cell
Total magnetic moment ... 0.00 μB per formula unit
Excess energy over the best structure of this formula in the dataset ... 75 meV/atom
D(E_F) ... 3.43 states/eV/f.u.

The following is a PBE calculation of crystalline Rb2LiMg2 at its relaxed geometry, from Alexandria.

Geometry as POSCAR:
```
Rb2LiMg2
1.0
-2.175 2.175 12.328
2.175 -2.175 12.328
2.175 2.175 -12.328
Rb Li Mg
2 1 2
Cartesian
0.000 0.000 2.732
0.000 0.000 21.924
0.000 0.000 12.328
2.175 0.000 6.164
0.000 2.175 6.164
```

Mass density ... 1.61 g cm⁻³
Volume ... 233.3 Å³/cell
Total magnetic moment ... 0.00 μB per formula unit
Excess energy over the best structure of this formula in the dataset ... 20 meV/atom
D(E_F) ... 3.86 states/eV/f.u.